# 1
Compound: YScSe3
Source: Alexandria
Functional: PBE
Structure: optimized geometry

POSCAR file:
```
YScSe3
1.0
8.976 0.000 0.000
0.000 7.649 0.000
-4.035 0.000 7.941
Y Sc Se
4 4 12
direct
0.112 0.219 0.042
0.112 0.281 0.542
0.888 0.719 0.458
0.888 0.781 0.958
0.302 0.624 0.909
0.302 0.876 0.409
0.698 0.124 0.591
0.698 0.376 0.091
0.013 0.014 0.704
0.013 0.486 0.204
0.245 0.639 0.600
0.245 0.861 0.100
0.373 0.211 0.440
0.373 0.289 0.940
0.627 0.711 0.060
0.627 0.789 0.560
0.755 0.139 0.900
0.755 0.361 0.400
0.987 0.514 0.796
0.987 0.986 0.296
```

Computed properties:
The value obtained for the density of states at the Fermi level is 0.000 states/eV/atom. The value obtained for the raw total energy is -126.6 eV for the cell shown. For the energy relative to the elements, uncorrected, the calculation gives -1.68 eV per atom. Its space-group type is P2_1/c, No. 14.

# 2
Compound: Pa2AlPd3
Source: Alexandria
Functional: PBE
Structure: optimized geometry

POSCAR file:
```
Pa2AlPd3
1.0
5.620 0.000 0.000
-2.810 4.867 0.000
0.000 0.000 8.165
Pa Al Pd
4 2 6
direct
0.333 0.667 0.078
0.333 0.667 0.422
0.667 0.333 0.578
0.667 0.333 0.922
0.000 0.000 0.000
0.000 0.000 0.500
0.169 0.338 0.750
0.169 0.831 0.750
0.338 0.169 0.250
0.662 0.831 0.750
0.831 0.169 0.250
0.831 0.662 0.250
```

Computed properties:
The value obtained for the density of states at the Fermi level is 1.275 states/eV/atom. The value obtained for the raw total energy is -84.5 eV for the cell shown. Its space-group type is P6_3/mmc, No. 194. The calculation puts the formation energy at -0.656 eV per atom.

# 3
Compound: LaSb2AsN
Source: Alexandria
Functional: PBE
Structure: optimized geometry

POSCAR file:
```
LaSb2AsN
1.0
5.251 0.000 0.000
0.000 5.251 0.000
0.000 0.000 5.785
La Sb As N
1 2 1 1
direct
0.000 0.000 0.000
0.000 0.500 0.500
0.500 0.000 0.500
0.000 0.000 0.500
0.500 0.500 0.000
```

Computed properties:
The value obtained for the density of states at the Fermi level is 1.036 states/eV/atom. The value obtained for the raw total energy is -21.5 eV for the cell shown. For the energy relative to the elements, uncorrected, the calculation gives 0.94 eV per atom. Its space-group type is P4/mmm, No. 123.

# 4
Compound: TaCr2Sb
Source: Alexandria
Functional: PBE
Structure: optimized geometry

POSCAR file:
```
TaCr2Sb
1.0
3.982 0.000 0.000
0.000 4.546 0.000
0.000 0.000 7.089
Ta Cr Sb
2 4 2
direct
0.000 0.000 0.000
0.500 0.500 0.000
0.000 0.000 0.417
0.000 0.500 0.247
0.500 0.000 0.247
0.500 0.500 0.417
0.000 0.500 0.682
0.500 0.000 0.682
```

Computed properties:
The value obtained for the density of states at the Fermi level is 1.137 states/eV/atom. The value obtained for the raw total energy is -68.0 eV for the cell shown. For the energy relative to the elements, uncorrected, the calculation gives 0.31 eV per atom. Its space-group type is Cmm2, No. 35.

# 5
Compound: DyZn4Au
Source: Alexandria
Functional: PBE
Structure: optimized geometry

POSCAR file:
```
DyZn4Au
1.0
2.033 -8.049 0.000
2.033 8.049 0.000
0.000 0.000 6.725
Dy Zn Au
2 8 2
direct
0.118 0.882 0.750
0.882 0.118 0.250
0.070 0.930 0.250
0.337 0.663 0.558
0.337 0.663 0.942
0.500 0.500 0.000
0.500 0.500 0.500
0.663 0.337 0.058
0.663 0.337 0.442
0.930 0.070 0.750
0.238 0.762 0.250
0.762 0.238 0.750
```

Computed properties:
The value obtained for the density of states at the Fermi level is 0.585 states/eV/atom. The value obtained for the raw total energy is -29.8 eV for the cell shown. Its space-group type is Cmcm, No. 63. The calculation puts the formation energy at -0.323 eV per atom.

# 6
Compound: KCrMo2
Source: Alexandria
Functional: PBE
Structure: optimized geometry

POSCAR file:
```
KCrMo2
1.0
3.120 0.000 0.000
0.000 4.577 0.000
0.000 0.000 10.278
K Cr Mo
2 2 4
direct
0.000 0.000 0.000
0.500 0.500 0.000
0.000 0.500 0.707
0.500 0.000 0.707
0.000 0.000 0.520
0.000 0.500 0.306
0.500 0.000 0.306
0.500 0.500 0.520
```

Computed properties:
The value obtained for the density of states at the Fermi level is 1.106 states/eV/atom. The value obtained for the raw total energy is -58.0 eV for the cell shown. Its space-group type is Cmm2, No. 35. The calculation puts the formation energy at 0.847 eV per atom.

# 7
Compound: In12GaHg7
Source: Alexandria
Functional: PBE
Structure: optimized geometry

POSCAR file:
```
In12GaHg7
1.0
6.160 3.557 4.153
-6.160 3.557 4.153
0.000 -7.113 4.153
In Ga Hg
12 1 7
direct
0.028 0.342 0.893
0.107 0.972 0.658
0.249 0.615 0.739
0.261 0.751 0.385
0.342 0.893 0.028
0.385 0.261 0.751
0.615 0.739 0.249
0.658 0.107 0.972
0.739 0.249 0.615
0.751 0.385 0.261
0.893 0.028 0.342
0.972 0.658 0.107
0.500 0.500 0.500
0.000 0.000 0.000
0.118 0.362 0.398
0.362 0.398 0.118
0.398 0.118 0.362
0.602 0.882 0.638
0.638 0.602 0.882
0.882 0.638 0.602
```

Computed properties:
The value obtained for the density of states at the Fermi level is 0.316 states/eV/atom. The value obtained for the raw total energy is -37.1 eV for the cell shown. Its space-group type is R-3, No. 148. The calculation puts the formation energy at 0.043 eV per atom.

# 8
Compound: Y2AlCo
Source: Alexandria
Functional: PBE
Structure: optimized geometry

POSCAR file:
```
Y2AlCo
1.0
3.458 0.000 0.000
0.000 3.440 0.000
-0.010 0.000 7.214
Y Al Co
2 1 1
direct
0.001 0.000 0.273
0.999 0.000 0.727
0.500 0.500 0.000
0.500 0.500 0.500
```

Computed properties:
The value obtained for the density of states at the Fermi level is 0.453 states/eV/atom. The value obtained for the raw total energy is -24.9 eV for the cell shown. Its space-group type is P2/m, No. 10. The calculation puts the formation energy at -0.277 eV per atom.